No. 1
AgSnSb2: relaxed, PBE-GGA.

The crystal system is tetragonal. The value obtained for the density of states at the Fermi level is 1.756 states/eV/cell. The calculation puts the size of the total moment at 0.00 μB/cell. The uncorrected formation energy is 4.5 kcal/mol of atoms.

The space group is P4/mmm (No. 123) and the conventional cell measures 4.8879, 4.8879 and 4.2866 Å, with angles of 90.00, 90.00 and 90.00 degrees. The inequivalent atoms are Ag at (0.0000, 0.0000, 0.0000), Sn at (0.5000, 0.5000, 0.0000) and Sb at (0.0000, 0.5000, 0.5000).

---

No. 2
AgSn4Sb5: relaxed, PBE-GGA.

The crystal system is tetragonal. The value obtained for the density of states at the Fermi level is 8.916 states/eV/cell. The calculation puts the size of the total moment at 0.00 μB/cell. The uncorrected formation energy is 1.1 kcal/mol of atoms.

The space group is I4/mmm (No. 139) and the conventional cell measures 4.3277, 4.3277 and 30.3580 Å, with angles of 90.00, 90.00 and 90.00 degrees. The inequivalent atoms are Ag at (0.0000, 0.0000, 0.0000), Sn at (0.0000, 0.0000, 0.1954), Sn at (0.0000, 0.0000, 0.3995), Sb at (0.0000, 0.0000, 0.0938), Sb at (0.0000, 0.0000, 0.2987) and Sb at (0.0000, 0.0000, 0.5000).

---

No. 3
AgSn2Sb: relaxed, PBE-GGA.

The crystal system is trigonal. The value obtained for the density of states at the Fermi level is 5.265 states/eV/cell. The calculation puts the size of the total moment at 0.00 μB/cell. The uncorrected formation energy is 2.2 kcal/mol of atoms.

The space group is R3m (No. 160, hexagonal axes) and the conventional cell measures 4.3040, 4.3040 and 20.5065 Å, with angles of 90.00, 90.00 and 120.00 degrees. The inequivalent atoms are Ag at (0.0000, 0.0000, 0.0000), Sn at (0.0000, 0.0000, 0.4062), Sn at (0.0000, 0.0000, 0.5915) and Sb at (0.0000, 0.0000, 0.8345).

---

No. 4
AgSnSb3: relaxed, PBE-GGA.

The crystal system is cubic. The value obtained for the density of states at the Fermi level is 3.856 states/eV/cell. The calculation puts the size of the total moment at 0.00 μB/cell. The uncorrected formation energy is 13.5 kcal/mol of atoms.

The space group is Pm-3m (No. 221) and the conventional cell measures 5.3881, 5.3881 and 5.3881 Å, with angles of 90.00, 90.00 and 90.00 degrees. The inequivalent atoms are Ag at (0.0000, 0.0000, 0.0000), Sn at (0.5000, 0.5000, 0.5000) and Sb at (0.0000, 0.0000, 0.5000).

---

No. 5
AgSnSb2: relaxed, PBE-GGA.

The crystal system is tetragonal. The value obtained for the density of states at the Fermi level is 1.480 states/eV/cell. The calculation puts the size of the total moment at 0.00 μB/cell. The uncorrected formation energy is 4.1 kcal/mol of atoms.

The space group is P4/mmm (No. 123) and the conventional cell measures 3.7006, 3.7006 and 7.4034 Å, with angles of 90.00, 90.00 and 90.00 degrees. The inequivalent atoms are Ag at (0.0000, 0.0000, 0.0000), Sn at (0.0000, 0.0000, 0.5000) and Sb at (0.5000, 0.5000, 0.2194).

---

No. 6
Sr2Ag3SnSb4: relaxed, PBE-GGA.

The crystal system is tetragonal. The value obtained for the density of states at the Fermi level is 1.279 states/eV/cell. The calculation puts the size of the total moment at 0.00 μB/cell. The uncorrected formation energy is -8.2 kcal/mol of atoms.

The space group is P-4m2 (No. 115) and the conventional cell measures 5.0662, 5.0662 and 11.1842 Å, with angles of 90.00, 90.00 and 90.00 degrees. The inequivalent atoms are Sr at (0.0000, 0.5000, 0.2354), Ag at (0.0000, 0.5000, 0.8770), Ag at (0.5000, 0.5000, 0.5000), Sn at (0.0000, 0.0000, 0.5000), Sb at (0.0000, 0.0000, 0.0000), Sb at (0.0000, 0.5000, 0.6332) and Sb at (0.5000, 0.5000, 0.0000).

---

No. 7
Sr2Ag4Sn3Sb: relaxed, PBE-GGA.

The crystal system is tetragonal. The value obtained for the density of states at the Fermi level is 4.224 states/eV/cell. The calculation puts the size of the total moment at 0.00 μB/cell. The uncorrected formation energy is -8.1 kcal/mol of atoms.

The space group is P-4m2 (No. 115) and the conventional cell measures 4.7460, 4.7460 and 11.7411 Å, with angles of 90.00, 90.00 and 90.00 degrees. The inequivalent atoms are Sr at (0.0000, 0.5000, 0.2410), Ag at (0.0000, 0.0000, 0.0000), Ag at (0.0000, 0.5000, 0.6403), Ag at (0.5000, 0.5000, 0.0000), Sn at (0.0000, 0.5000, 0.8715), Sn at (0.5000, 0.5000, 0.5000) and Sb at (0.0000, 0.0000, 0.5000).

---

No. 8
AgSn2SbTe4: relaxed, PBE-GGA.

The crystal system is monoclinic. The value obtained for the density of states at the Fermi level is 1.984 states/eV/cell. The calculation puts the size of the total moment at 0.00 μB/cell. The uncorrected formation energy is -3.8 kcal/mol of atoms.

The space group is P2/m (No. 10) and the conventional cell measures 7.6081, 4.4703 and 7.6127 Å, with angles of 90.00, 109.48 and 90.00 degrees. The inequivalent atoms are Ag at (0.0000, 0.0000, 0.0000), Sn at (0.5000, 0.0000, 0.5000), Sn at (0.5000, 0.5000, 0.0000), Sb at (0.0000, 0.5000, 0.5000), Te at (0.2377, 0.5000, 0.2410) and Te at (0.2394, 0.0000, 0.7546).

---

No. 9
AgSnSbTe: relaxed, PBE-GGA.

The crystal system is trigonal. The value obtained for the density of states at the Fermi level is 10.940 states/eV/cell. The calculation puts the size of the total moment at 0.00 μB/cell. The uncorrected formation energy is 0.0 kcal/mol of atoms.

The space group is R-3m (No. 166, hexagonal axes) and the conventional cell measures 4.4074, 4.4074 and 41.3527 Å, with angles of 90.00, 90.00 and 120.00 degrees. The inequivalent atoms are Ag at (0.0000, 0.0000, 0.1848), Sn at (0.0000, 0.0000, 0.3995), Sb at (0.0000, 0.0000, 0.3097) and Te at (0.0000, 0.0000, 0.1146).

---

No. 10
ZnAg7Sn2Sb2: relaxed, PBE-GGA.

The crystal system is monoclinic. The value obtained for the density of states at the Fermi level is 8.675 states/eV/cell. The calculation puts the size of the total moment at 0.00 μB/cell. The uncorrected formation energy is 2.0 kcal/mol of atoms.

The space group is C2/m (No. 12) and the conventional cell measures 5.6591, 5.6470 and 16.2189 Å, with angles of 90.00, 99.56 and 90.00 degrees. The inequivalent atoms are Zn at (0.0000, 0.0000, 0.0000), Ag at (0.0000, 0.5000, 0.0000), Ag at (0.1871, 0.2501, 0.8679), Ag at (0.2292, 0.5000, 0.4601), Sn at (0.1340, 0.5000, 0.2749) and Sb at (0.1811, 0.0000, 0.3650).

---

No. 11
ZnAgSnSb: relaxed, PBE-GGA.

The crystal system is cubic. The value obtained for the density of states at the Fermi level is 7.039 states/eV/cell. The calculation puts the size of the total moment at 0.00 μB/cell. The uncorrected formation energy is 3.6 kcal/mol of atoms.

The space group is F-43m (No. 216) and the conventional cell measures 7.1197, 7.1197 and 7.1197 Å, with angles of 90.00, 90.00 and 90.00 degrees. The inequivalent atoms are Zn at (0.0000, 0.0000, 0.0000), Ag at (0.0000, 0.0000, 0.5000), Sn at (0.2500, 0.2500, 0.7500) and Sb at (0.2500, 0.2500, 0.2500).

---

No. 12
Sr2AgSb: relaxed, PBE-GGA.

The crystal system is orthorhombic. The value obtained for the density of states at the Fermi level is 7.756 states/eV/cell. The calculation puts the size of the total moment at 0.00 μB/cell. The uncorrected formation energy is 8.3 kcal/mol of atoms.

The space group is Immm (No. 71) and the conventional cell measures 4.7959, 4.8079 and 12.6287 Å, with angles of 90.00, 90.00 and 90.00 degrees. The inequivalent atoms are Sr at (0.0000, 0.0000, 0.2339), Ag at (0.0000, 0.0000, 0.0000) and Sb at (0.0000, 0.0000, 0.5000).

---

size of the total moment of number 12 (Sr2AgSb)?
0.00 μB/cell